1.
VSn2Ge: optimized geometry, PBE-GGA.

POSCAR file:
```
VSn2Ge
1.0
-3.8907 3.8907 2.9976
3.8907 -3.8907 2.9976
3.8907 3.8907 -2.9976
V Sn Ge
2 4 2
direct
0.0000 0.0000 0.0000 V
0.7500 0.2500 0.5000 V
0.1344 0.1250 0.5094 Sn
0.3750 0.8656 0.9906 Sn
0.6156 0.6250 0.4906 Sn
0.8750 0.3844 0.0094 Sn
0.2500 0.7500 0.5000 Ge
0.5000 0.5000 0.0000 Ge
```

Output
The value obtained for the total energy is -5.005 eV per atom. For the calculated volume, the calculation gives 90.8 Å³/f.u. The crystal system is tetragonal. The space group is No. 122.


2.
Li2Cu5Ni: optimized geometry, PBE-GGA.

POSCAR file:
```
Li2Cu5Ni
1.0
1.9897 -4.2351 0.0000
1.9897 4.2351 0.0000
0.0000 0.0000 11.7013
Li Cu Ni
4 10 2
direct
0.2230 0.7770 0.6359 Li
0.2230 0.7770 0.8641 Li
0.7770 0.2230 0.1359 Li
0.7770 0.2230 0.3641 Li
0.0749 0.9251 0.0887 Cu
0.0749 0.9251 0.4113 Cu
0.3782 0.6218 0.0533 Cu
0.3782 0.6218 0.4467 Cu
0.4773 0.5227 0.7500 Cu
0.5227 0.4773 0.2500 Cu
0.6218 0.3782 0.5533 Cu
0.6218 0.3782 0.9467 Cu
0.9251 0.0749 0.5887 Cu
0.9251 0.0749 0.9113 Cu
0.2386 0.7614 0.2500 Ni
0.7614 0.2386 0.7500 Ni
```

Output
The value obtained for the total energy is -3.696 eV per atom. For the calculated volume, the calculation gives 98.6 Å³/f.u. The crystal system is orthorhombic. The space group is No. 63.


3.
TaAlSN2: optimized geometry, PBE-GGA.

POSCAR file:
```
TaAlSN2
1.0
3.9735 0.0000 0.0000
0.0000 3.9735 0.0000
0.0000 0.0000 5.1417
Ta Al S N
1 1 1 2
direct
0.0000 0.0000 0.0000 Ta
0.5000 0.5000 0.5000 Al
0.0000 0.0000 0.5000 S
0.0000 0.5000 0.0000 N
0.5000 0.0000 0.0000 N
```

Output
Its energy above the most stable polymorph in this dataset is 0.00 eV per formula unit. For the calculated volume, the calculation gives 81.2 Å³/f.u. The crystal system is tetragonal. The uncorrected formation energy comes out at 0.4 eV per formula unit. The space group is No. 123.


4.
Mg4Zr2Cd: optimized geometry, PBE-GGA.

POSCAR file:
```
Mg4Zr2Cd
1.0
1.5631 -16.0284 0.0000
1.5631 16.0284 0.0000
0.0000 0.0000 3.1472
Mg Zr Cd
4 2 1
direct
0.0658 0.9342 0.0000 Mg
0.3625 0.6375 0.5000 Mg
0.6375 0.3625 0.5000 Mg
0.9342 0.0658 0.0000 Mg
0.2096 0.7904 0.0000 Zr
0.7904 0.2096 0.0000 Zr
0.5000 0.5000 0.5000 Cd
```

Output
The value obtained for the total energy is -3.432 eV per atom. For the calculated volume, the calculation gives 157.7 Å³/f.u. The crystal system is orthorhombic. The space group is No. 65.


5.
LaYCd2: optimized geometry, PBE-GGA.

POSCAR file:
```
LaYCd2
1.0
5.4529 0.0000 0.0000
0.0000 5.4529 0.0000
0.0000 0.0000 3.8247
La Y Cd
1 1 2
direct
0.0000 0.0000 0.0000 La
0.5000 0.5000 0.0000 Y
0.0000 0.5000 0.5000 Cd
0.5000 0.0000 0.5000 Cd
```

Output
Its energy above the most stable polymorph in this dataset is 0.07 eV per formula unit. For the calculated volume, the calculation gives 113.7 Å³/f.u. The crystal system is tetragonal. The space group is No. 123.


6.
Na3YbBr6: optimized geometry, PBE-GGA.

POSCAR file:
```
Na3YbBr6
1.0
7.2818 0.0000 0.0000
0.0000 7.7948 0.0000
-7.1156 0.0000 10.7092
Na Yb Br
6 2 12
direct
0.0000 0.0000 0.0000 Na
0.0000 0.5000 0.5000 Na
0.2064 0.0874 0.7363 Na
0.2064 0.4126 0.2363 Na
0.7936 0.5874 0.7637 Na
0.7936 0.9126 0.2637 Na
0.5000 0.0000 0.5000 Yb
0.5000 0.5000 0.0000 Yb
0.1156 0.1815 0.4324 Br
0.1156 0.3185 0.9324 Br
0.2444 0.6943 0.4158 Br
0.2444 0.8057 0.9158 Br
0.4096 0.0683 0.2592 Br
0.4096 0.4317 0.7592 Br
0.5904 0.5683 0.2408 Br
0.5904 0.9317 0.7408 Br
0.7556 0.1943 0.0842 Br
0.7556 0.3057 0.5842 Br
0.8844 0.6815 0.0676 Br
0.8844 0.8185 0.5676 Br
```

Output
For the calculated volume, the calculation gives 303.9 Å³/f.u. The crystal system is monoclinic. The uncorrected formation energy comes out at -15.2 eV per formula unit. The space group is No. 14.